(1)
Material: ZrIr3
Method: DFT, PBE
State: relaxed

abc: 5.676 5.676 4.562
angles: 90.00 90.00 120.00
Fractional coordinates of all 8 atoms:
Zr1 0.333 0.667 0.250
Zr2 0.667 0.333 0.750
Ir1 0.161 0.322 0.750
Ir2 0.161 0.839 0.750
Ir3 0.322 0.161 0.250
Ir4 0.678 0.839 0.750
Ir5 0.839 0.161 0.250
Ir6 0.839 0.678 0.250

Properties
Energy (eV for the cell shown): -75.6
Size of the total moment (μB/atom): 0.000
Energy of formation from the pure elements (eV/atom): -0.662

=====

(2)
Material: K3CaMn2Cl9
Method: DFT, PBE
State: relaxed

abc: 7.280 7.280 9.027
angles: 90.00 90.00 120.00
Fractional coordinates of all 15 atoms:
K1 0.000 0.000 0.000
K2 0.333 0.667 0.695
K3 0.667 0.333 0.305
Ca1 0.000 0.000 0.500
Mn1 0.333 0.667 0.163
Mn2 0.667 0.333 0.837
Cl1 0.000 0.500 0.000
Cl2 0.171 0.342 0.322
Cl3 0.171 0.829 0.322
Cl4 0.342 0.171 0.678
Cl5 0.500 0.000 0.000
Cl6 0.500 0.500 0.000
Cl7 0.658 0.829 0.322
Cl8 0.829 0.171 0.678
Cl9 0.829 0.658 0.678

Properties
Energy (eV for the cell shown): -65.6
Size of the total moment (μB/atom): 0.667
Formation energy (no corrections) (eV per formula unit): -25.3